# 1
Compound: KAl2H
Source: Alexandria via LeMat-Bulk
Functional: PBE
Structure: relaxed

Values from the calculation:
E above lowest polymorph (meV per atom): 728
Symmetry: Fm-3m, No. 225
Total energy (eV per atom): -1.91
V (Å³ per cell): 96.5

POSCAR file:
```
KAl2H
1.0
0.000 3.641 3.641
3.641 0.000 3.641
3.641 3.641 0.000
K Al H
1 2 1
direct
0.000 0.000 0.000
0.250 0.250 0.250
0.750 0.750 0.750
0.500 0.500 0.500
```

=====

# 2
Compound: K2AlH
Source: Alexandria via LeMat-Bulk
Functional: PBE
Structure: relaxed

Values from the calculation:
E above lowest polymorph (meV per atom): 0
Symmetry: I-42d, No. 122
Total energy (eV per atom): -1.95
V (Å³ per cell): 273.7

POSCAR file:
```
K2AlH
1.0
-3.949 3.949 4.387
3.949 -3.949 4.387
3.949 3.949 -4.387
K Al H
4 2 2
direct
0.019 0.625 0.894
0.375 0.269 0.394
0.731 0.125 0.106
0.875 0.981 0.606
0.250 0.750 0.500
0.500 0.500 0.000
0.000 0.000 0.000
0.750 0.250 0.500
```

=====

# 3
Compound: K3Al2H9
Source: Alexandria via LeMat-Bulk
Functional: PBE
Structure: relaxed

Values from the calculation:
Symmetry: P6_3/mmc, No. 194
Total energy (eV per atom): -3.16
V (Å³ per cell): 384.7

POSCAR file:
```
K3Al2H9
1.0
5.636 0.000 0.000
-2.818 4.881 0.000
0.000 0.000 13.984
K Al H
6 4 18
direct
0.000 0.000 0.250
0.000 0.000 0.750
0.333 0.667 0.079
0.333 0.667 0.421
0.667 0.333 0.579
0.667 0.333 0.921
0.333 0.667 0.658
0.333 0.667 0.842
0.667 0.333 0.158
0.667 0.333 0.342
0.058 0.529 0.750
0.182 0.364 0.600
0.182 0.364 0.900
0.182 0.818 0.600
0.182 0.818 0.900
0.364 0.182 0.100
0.364 0.182 0.400
0.471 0.529 0.750
0.471 0.942 0.750
0.529 0.058 0.250
0.529 0.471 0.250
0.636 0.818 0.600
0.636 0.818 0.900
0.818 0.182 0.100
0.818 0.182 0.400
0.818 0.636 0.100
0.818 0.636 0.400
0.942 0.471 0.250
```

=====

# 4
Compound: K2AlH4
Source: Alexandria via LeMat-Bulk
Functional: PBE
Structure: relaxed

Values from the calculation:
Symmetry: I4/mmm, No. 139
Total energy (eV per atom): -2.85
V (Å³ per cell): 107.0

POSCAR file:
```
K2AlH4
1.0
-1.975 1.975 6.857
1.975 -1.975 6.857
1.975 1.975 -6.857
K Al H
2 1 4
direct
0.142 0.142 0.000
0.858 0.858 0.000
0.500 0.500 0.000
0.000 0.500 0.500
0.361 0.361 0.000
0.500 0.000 0.500
0.639 0.639 0.000
```

=====

# 5
Compound: KMgAlH6
Source: Alexandria via LeMat-Bulk
Functional: PBE
Structure: relaxed

Values from the calculation:
Symmetry: P312, No. 149
Total energy (eV per atom): -3.15
V (Å³ per cell): 116.2

POSCAR file:
```
KMgAlH6
1.0
4.900 0.000 0.000
-2.450 4.243 0.000
0.000 0.000 5.589
K Mg Al H
1 1 1 6
direct
0.000 0.000 0.000
0.333 0.667 0.500
0.667 0.333 0.500
0.389 0.028 0.681
0.389 0.361 0.319
0.639 0.028 0.319
0.639 0.611 0.681
0.972 0.361 0.681
0.972 0.611 0.319
```

=====

# 6
Compound: KMnAlH6
Source: Alexandria via LeMat-Bulk
Functional: PBE
Structure: relaxed

Values from the calculation:
Symmetry: P-6m2, No. 187
Total energy (eV per atom): -3.94
V (Å³ per cell): 92.5

POSCAR file:
```
KMnAlH6
1.0
4.431 0.000 0.000
-2.215 3.837 0.000
0.000 0.000 5.436
K Mn Al H
1 1 1 6
direct
0.000 0.000 0.000
0.333 0.667 0.500
0.667 0.333 0.500
0.031 0.515 0.290
0.031 0.515 0.710
0.485 0.515 0.290
0.485 0.515 0.710
0.485 0.969 0.290
0.485 0.969 0.710
```

=====

# 7
Compound: K2Na2AlH6
Source: Alexandria via LeMat-Bulk
Functional: PBE
Structure: relaxed

Values from the calculation:
Symmetry: C2/m, No. 12
Total energy (eV per atom): -2.73
V (Å³ per cell): 197.4

POSCAR file:
```
K2Na2AlH6
1.0
3.118 -5.529 0.000
3.118 5.529 0.000
-0.815 0.000 5.726
K Na Al H
2 2 1 6
direct
0.160 0.840 0.000
0.840 0.160 0.000
0.365 0.635 0.500
0.635 0.365 0.500
0.500 0.500 0.000
0.238 0.470 0.832
0.309 0.309 0.211
0.470 0.238 0.832
0.530 0.762 0.168
0.691 0.691 0.789
0.762 0.530 0.168
```

=====

# 8
Compound: K2NaAlH
Source: Alexandria via LeMat-Bulk
Functional: PBE
Structure: relaxed

Values from the calculation:
Symmetry: P4/mmm, No. 123
Total energy (eV per atom): -1.50
V (Å³ per cell): 261.4

POSCAR file:
```
K2NaAlH
1.0
6.724 0.000 0.000
0.000 6.724 0.000
0.000 0.000 5.783
K Na Al H
2 1 1 1
direct
0.000 0.500 0.000
0.500 0.000 0.000
0.000 0.000 0.500
0.000 0.000 0.000
0.500 0.500 0.500
```

=====

# 9
Compound: KNa3Al12H24S8O56
Source: Alexandria via LeMat-Bulk
Functional: PBE
Structure: relaxed

Values from the calculation:
Symmetry: P2/m, No. 10
Total energy (eV per atom): -6.08
V (Å³ per cell): 979.5

POSCAR file:
```
KNa3Al12H24S8O56
1.0
12.082 0.000 0.000
0.000 7.051 0.000
-4.114 0.000 11.498
K Na Al H S O
1 3 12 24 8 56
direct
0.000 0.000 0.000
0.000 0.500 0.500
0.500 0.000 0.500
0.500 0.500 0.000
0.251 0.250 0.500
0.251 0.750 0.500
0.252 0.500 0.750
0.254 0.000 0.252
0.255 0.251 0.001
0.255 0.749 0.001
0.745 0.251 0.999
0.745 0.749 0.999
0.746 0.000 0.748
0.748 0.500 0.250
0.749 0.250 0.500
0.749 0.750 0.500
0.167 0.500 0.359
0.168 0.205 0.654
0.168 0.795 0.654
0.172 0.000 0.861
0.172 0.295 0.155
0.172 0.705 0.155
0.332 0.000 0.641
0.334 0.204 0.845
0.334 0.296 0.347
0.334 0.704 0.347
0.334 0.796 0.845
0.336 0.500 0.142
0.664 0.500 0.858
0.666 0.204 0.155
0.666 0.296 0.653
0.666 0.704 0.653
0.666 0.796 0.155
0.668 0.000 0.359
0.828 0.000 0.139
0.828 0.295 0.845
0.828 0.705 0.845
0.832 0.205 0.346
0.832 0.795 0.346
0.833 0.500 0.641
0.043 0.000 0.347
0.045 0.500 0.849
0.459 0.500 0.652
0.462 0.000 0.155
0.538 0.000 0.845
0.541 0.500 0.348
0.955 0.500 0.151
0.957 0.000 0.653
0.084 0.500 0.193
0.086 0.000 0.697
0.087 0.173 0.420
0.087 0.827 0.420
0.088 0.500 0.747
0.089 0.000 0.248
0.091 0.327 0.921
0.091 0.673 0.921
0.208 0.312 0.632
0.208 0.500 0.444
0.208 0.688 0.632
0.214 0.000 0.945
0.214 0.190 0.134
0.214 0.810 0.134
0.293 0.000 0.556
0.295 0.188 0.370
0.295 0.812 0.370
0.296 0.313 0.869
0.296 0.687 0.869
0.298 0.500 0.057
0.408 0.000 0.802
0.412 0.500 0.305
0.415 0.327 0.580
0.415 0.500 0.753
0.415 0.673 0.580
0.418 0.000 0.255
0.419 0.173 0.082
0.419 0.827 0.082
0.581 0.173 0.918
0.581 0.827 0.918
0.582 0.000 0.745
0.585 0.327 0.420
0.585 0.500 0.247
0.585 0.673 0.420
0.588 0.500 0.695
0.592 0.000 0.198
0.702 0.500 0.943
0.704 0.313 0.131
0.704 0.687 0.131
0.705 0.188 0.630
0.705 0.812 0.630
0.707 0.000 0.444
0.786 0.000 0.055
0.786 0.190 0.866
0.786 0.810 0.866
0.792 0.312 0.368
0.792 0.500 0.556
0.792 0.688 0.368
0.909 0.327 0.079
0.909 0.673 0.079
0.911 0.000 0.752
0.912 0.500 0.253
0.913 0.173 0.580
0.913 0.827 0.580
0.914 0.000 0.303
0.916 0.500 0.807
```

=====

# 10
Compound: KAl2P2H5O11
Source: Alexandria via LeMat-Bulk
Functional: PBE
Structure: relaxed

Values from the calculation:
Symmetry: P2_1/c, No. 14
Total energy (eV per atom): -6.38
V (Å³ per cell): 858.7

POSCAR file:
```
KAl2P2H5O11
1.0
9.586 0.000 0.000
0.000 9.575 0.000
-7.383 0.000 9.355
K Al P H O
4 8 8 20 44
direct
0.119 0.200 0.099
0.119 0.300 0.599
0.881 0.700 0.401
0.881 0.800 0.901
0.209 0.725 0.810
0.209 0.775 0.310
0.481 0.044 0.871
0.481 0.456 0.371
0.519 0.544 0.629
0.519 0.956 0.129
0.791 0.225 0.690
0.791 0.275 0.190
0.148 0.027 0.852
0.148 0.473 0.352
0.341 0.685 0.133
0.341 0.815 0.633
0.659 0.185 0.367
0.659 0.315 0.867
0.852 0.527 0.648
0.852 0.973 0.148
0.144 0.134 0.379
0.144 0.366 0.879
0.301 0.081 0.537
0.301 0.419 0.037
0.340 0.020 0.396
0.340 0.480 0.896
0.423 0.533 0.818
0.423 0.967 0.318
0.455 0.200 0.024
0.455 0.300 0.524
0.545 0.700 0.476
0.545 0.800 0.976
0.577 0.033 0.682
0.577 0.467 0.182
0.660 0.520 0.104
0.660 0.980 0.604
0.699 0.581 0.963
0.699 0.919 0.463
0.856 0.634 0.121
0.856 0.866 0.621
0.003 0.621 0.684
0.003 0.879 0.184
0.070 0.619 0.282
0.070 0.881 0.782
0.214 0.731 0.163
0.214 0.769 0.663
0.232 0.670 0.970
0.232 0.830 0.470
0.246 0.088 0.797
0.246 0.412 0.297
0.274 0.140 0.458
0.274 0.360 0.958
0.279 0.010 0.018
0.279 0.490 0.518
0.354 0.561 0.850
0.354 0.939 0.350
0.421 0.538 0.202
0.421 0.962 0.702
0.445 0.637 0.444
0.445 0.863 0.944
0.499 0.713 0.695
0.499 0.787 0.195
0.501 0.213 0.805
0.501 0.287 0.305
0.555 0.137 0.056
0.555 0.363 0.556
0.579 0.038 0.298
0.579 0.462 0.798
0.646 0.061 0.650
0.646 0.439 0.150
0.721 0.510 0.482
0.721 0.990 0.982
0.726 0.640 0.042
0.726 0.860 0.542
0.754 0.588 0.703
0.754 0.912 0.203
0.768 0.170 0.530
0.768 0.330 0.030
0.786 0.231 0.337
0.786 0.269 0.837
0.930 0.119 0.218
0.930 0.381 0.718
0.997 0.121 0.816
0.997 0.379 0.316
```

=====

# 11
Compound: KAl3Si3H2O12
Source: Alexandria via LeMat-Bulk
Functional: PBE
Structure: relaxed

Values from the calculation:
Symmetry: P2/c, No. 13
Total energy (eV per atom): -7.13
V (Å³ per cell): 979.4

POSCAR file:
```
KAl3Si3H2O12
1.0
5.235 0.000 0.000
0.000 9.086 0.000
-1.859 0.000 20.593
K Al Si H O
4 12 12 8 48
direct
0.000 0.093 0.250
0.000 0.907 0.750
0.500 0.385 0.750
0.500 0.615 0.250
0.043 0.237 0.867
0.043 0.763 0.367
0.248 0.085 0.999
0.248 0.915 0.499
0.251 0.414 0.999
0.251 0.586 0.499
0.749 0.414 0.501
0.749 0.586 0.001
0.752 0.085 0.501
0.752 0.915 0.001
0.957 0.237 0.633
0.957 0.763 0.133
0.043 0.433 0.367
0.043 0.567 0.867
0.445 0.260 0.132
0.445 0.740 0.632
0.476 0.066 0.634
0.476 0.934 0.134
0.524 0.066 0.866
0.524 0.934 0.366
0.555 0.260 0.368
0.555 0.740 0.868
0.957 0.433 0.133
0.957 0.567 0.633
0.135 0.155 0.444
0.135 0.845 0.944
0.376 0.356 0.566
0.376 0.644 0.066
0.624 0.356 0.934
0.624 0.644 0.434
0.865 0.155 0.056
0.865 0.845 0.556
0.038 0.445 0.446
0.038 0.555 0.946
0.045 0.064 0.452
0.045 0.936 0.952
0.088 0.412 0.832
0.088 0.588 0.332
0.126 0.249 0.951
0.126 0.751 0.451
0.238 0.367 0.164
0.238 0.633 0.664
0.242 0.110 0.833
0.242 0.890 0.333
0.260 0.313 0.346
0.260 0.687 0.846
0.276 0.189 0.654
0.276 0.811 0.154
0.390 0.252 0.053
0.390 0.748 0.553
0.409 0.097 0.164
0.409 0.903 0.664
0.454 0.442 0.549
0.454 0.558 0.049
0.466 0.049 0.554
0.466 0.951 0.054
0.534 0.049 0.946
0.534 0.951 0.446
0.546 0.442 0.951
0.546 0.558 0.451
0.591 0.097 0.336
0.591 0.903 0.836
0.610 0.252 0.447
0.610 0.748 0.947
0.724 0.189 0.846
0.724 0.811 0.346
0.740 0.313 0.154
0.740 0.687 0.654
0.758 0.110 0.667
0.758 0.890 0.167
0.762 0.367 0.336
0.762 0.633 0.836
0.874 0.249 0.549
0.874 0.751 0.049
0.912 0.412 0.668
0.912 0.588 0.168
0.955 0.064 0.048
0.955 0.936 0.548
0.962 0.445 0.054
0.962 0.555 0.554
```